Density functional theory data (GGA+U) for a relaxed structure of Ac2TbNiO6.

Calculated values
final energy = -0.26551 Ha/atom

Lattice parameters (Å, degrees): 5.837 5.667 6.064 117.85 121.20 90.00
Positions (direct):
1 O 0.220 0.711 0.895
2 O 0.780 0.289 0.105
3 O 0.220 0.184 0.895
4 O 0.780 0.816 0.105
5 O 0.654 0.247 0.494
6 O 0.346 0.753 0.506
7 Tb 0.000 0.500 0.000
8 Ac 0.755 0.742 0.484
9 Ac 0.245 0.258 0.516
10 Ni 0.500 0.000 0.000